# PBE-GGA Mg2ScCl, relaxed
data_Mg2ScCl
_symmetry_space_group_name_H-M 'P 1'
_symmetry_Int_Tables_number 1
_cell_length_a 5.264
_cell_length_b 5.264
_cell_length_c 5.264
_cell_angle_alpha 60.00
_cell_angle_beta 60.00
_cell_angle_gamma 60.00
loop_
_symmetry_equiv_pos_as_xyz
'x,y,z'
loop_
_atom_site_label
_atom_site_type_symbol
_atom_site_fract_x
_atom_site_fract_y
_atom_site_fract_z
Sc1 Sc 0.500 0.500 0.500
Cl1 Cl 0.000 0.000 0.000
Mg1 Mg 0.750 0.750 0.750
Mg2 Mg 0.250 0.250 0.250
# Volume   25.78 Å³ per atom
# Energy above the most stable polymorph in this dataset   0.7493 eV per atom
# SG   No. 225

# PBE-GGA Mg2Sc2Cl, relaxed
data_Mg2Sc2Cl
_symmetry_space_group_name_H-M 'P 1'
_symmetry_Int_Tables_number 1
_cell_length_a 6.738
_cell_length_b 6.738
_cell_length_c 5.263
_cell_angle_alpha 90.00
_cell_angle_beta 90.00
_cell_angle_gamma 90.00
loop_
_symmetry_equiv_pos_as_xyz
'x,y,z'
loop_
_atom_site_label
_atom_site_type_symbol
_atom_site_fract_x
_atom_site_fract_y
_atom_site_fract_z
Cl1 Cl 0.500 0.500 0.000
Cl2 Cl 0.000 0.000 0.000
Mg1 Mg 0.149 0.649 0.500
Mg2 Mg 0.851 0.351 0.500
Mg3 Mg 0.351 0.149 0.500
Mg4 Mg 0.649 0.851 0.500
Sc1 Sc 0.841 0.659 0.000
Sc2 Sc 0.159 0.341 0.000
Sc3 Sc 0.341 0.841 0.000
Sc4 Sc 0.659 0.159 0.000
# Volume   23.90 Å³ per atom
# Energy above the most stable polymorph in this dataset   0.0000 eV per atom
# SG   No. 127

# PBE-GGA MgScCl2, relaxed
data_MgScCl2
_symmetry_space_group_name_H-M 'P 1'
_symmetry_Int_Tables_number 1
_cell_length_a 5.117
_cell_length_b 5.117
_cell_length_c 5.117
_cell_angle_alpha 126.89
_cell_angle_beta 126.89
_cell_angle_gamma 78.42
loop_
_symmetry_equiv_pos_as_xyz
'x,y,z'
loop_
_atom_site_label
_atom_site_type_symbol
_atom_site_fract_x
_atom_site_fract_y
_atom_site_fract_z
Cl1 Cl 0.500 0.500 0.000
Cl2 Cl 0.000 0.000 0.000
Mg1 Mg 0.250 0.750 0.500
Sc1 Sc 0.750 0.250 0.500
# Volume   20.74 Å³ per atom
# Energy above the most stable polymorph in this dataset   0.5331 eV per atom
# SG   No. 139